(1)
Compound: LiEr2NpSe4
Source: Alexandria
Functional: PBE
Structure: optimized geometry

abc: 4.037 7.018 7.021
angles: 109.54 90.00 90.00
Atoms (fractional coordinates):
Li 0.500 0.500 0.000
Er 0.500 0.000 0.500
Er 0.000 0.500 0.500
Np 0.000 0.000 0.000
Se 0.500 0.257 0.251
Se 0.500 0.743 0.749
Se 0.000 0.257 0.751
Se 0.000 0.743 0.249

Results
Calculated total energy ... -50.1 eV/cell
Fermi-level density of states ... 13.366 states/eV/f.u.
Total magnetization ... 4.59 μB per formula unit



(2)
Compound: NaUBiAu
Source: Alexandria
Functional: PBE
Structure: optimized geometry

abc: 5.251 5.251 5.251
angles: 60.00 60.00 60.00
Atoms (fractional coordinates):
Au 0.750 0.750 0.750
U 0.500 0.500 0.500
Bi 0.250 0.250 0.250
Na 0.000 0.000 0.000

Results
Calculated total energy ... -20.1 eV/cell
Fermi-level density of states ... 7.660 states/eV/f.u.
Total magnetization ... 3.00 μB per formula unit
ΔE_f ... -6.9 kJ/mol of atoms



(3)
Compound: GdMgCuHg
Source: Alexandria
Functional: PBE
Structure: optimized geometry

abc: 4.858 4.858 4.858
angles: 60.00 60.00 60.00
Atoms (fractional coordinates):
Mg 0.500 0.500 0.500
Gd 0.750 0.750 0.750
Hg 0.250 0.250 0.250
Cu 0.000 0.000 0.000

Results
Calculated total energy ... -20.7 eV/cell
Fermi-level density of states ... 1.492 states/eV/f.u.
Total magnetization ... 7.14 μB per formula unit
ΔE_f ... -15.9 kJ/mol of atoms